# La2SnS (PBE, optimized geometry)
# energy above the most stable polymorph in this dataset: 0.0000 eV per atom
# uncorrected formation energy: -1.39 eV per atom
data_La2SnS
_space_group_name_H-M_alt 'R -3 m'
_space_group_IT_number 166
_space_group_name_Hall '-R 3 2"'
_cell_length_a 4.3781
_cell_length_b 4.3781
_cell_length_c 21.9315
_cell_angle_alpha 90.00
_cell_angle_beta 90.00
_cell_angle_gamma 120.00
loop_
_atom_site_label
_atom_site_fract_x
_atom_site_fract_y
_atom_site_fract_z
_atom_site_occupancy
La1 0.0000 0.0000 0.2426 1
Sn1 0.0000 0.0000 0.0000 1
S1 0.0000 0.0000 0.5000 1

***

# La2SnS6 (PBE, optimized geometry)
# uncorrected formation energy: -1.16 eV per atom
data_La2SnS6
_space_group_name_H-M_alt 'P 1 21/c 1'
_space_group_IT_number 14
_cell_length_a 5.6575
_cell_length_b 7.7550
_cell_length_c 10.8552
_cell_angle_alpha 90.00
_cell_angle_beta 117.79
_cell_angle_gamma 90.00
loop_
_space_group_symop_operation_xyz
'x,y,z'
'-x,-y,-z'
'-x,y+1/2,-z+1/2'
'x,-y+1/2,z+1/2'
loop_
_atom_site_label
_atom_site_fract_x
_atom_site_fract_y
_atom_site_fract_z
_atom_site_occupancy
La1 0.1888 0.0990 0.2601 1
Sn1 0.5000 0.0000 0.0000 1
S1 0.0895 0.1918 0.9631 1
S2 0.2880 0.7008 0.9686 1
S3 0.3247 0.0361 0.7439 1

***

What did the second record say?
# La2SnS6 (PBE, optimized geometry)
# uncorrected formation energy: -1.16 eV per atom
data_La2SnS6
_space_group_name_H-M_alt 'P 1 21/c 1'
_space_group_IT_number 14
_cell_length_a 5.6575
_cell_length_b 7.7550
_cell_length_c 10.8552
_cell_angle_alpha 90.00
_cell_angle_beta 117.79
_cell_angle_gamma 90.00
loop_
_space_group_symop_operation_xyz
'x,y,z'
'-x,-y,-z'
'-x,y+1/2,-z+1/2'
'x,-y+1/2,z+1/2'
loop_
_atom_site_label
_atom_site_fract_x
_atom_site_fract_y
_atom_site_fract_z
_atom_site_occupancy
La1 0.1888 0.0990 0.2601 1
Sn1 0.5000 0.0000 0.0000 1
S1 0.0895 0.1918 0.9631 1
S2 0.2880 0.7008 0.9686 1
S3 0.3247 0.0361 0.7439 1

***

Copy entry 2 word for word.
# La2SnS6 (PBE, optimized geometry)
# uncorrected formation energy: -1.16 eV per atom
data_La2SnS6
_space_group_name_H-M_alt 'P 1 21/c 1'
_space_group_IT_number 14
_cell_length_a 5.6575
_cell_length_b 7.7550
_cell_length_c 10.8552
_cell_angle_alpha 90.00
_cell_angle_beta 117.79
_cell_angle_gamma 90.00
loop_
_space_group_symop_operation_xyz
'x,y,z'
'-x,-y,-z'
'-x,y+1/2,-z+1/2'
'x,-y+1/2,z+1/2'
loop_
_atom_site_label
_atom_site_fract_x
_atom_site_fract_y
_atom_site_fract_z
_atom_site_occupancy
La1 0.1888 0.0990 0.2601 1
Sn1 0.5000 0.0000 0.0000 1
S1 0.0895 0.1918 0.9631 1
S2 0.2880 0.7008 0.9686 1
S3 0.3247 0.0361 0.7439 1

***

Q: The lowest uncorrected formation energy belongs to which entry?
A: La2SnS